No. 1
VASP calculation (PBE) on a relaxed structure of Pr2H5.

Computed properties:
**Crystal system**: tetragonal
**Total DFT energy (no corrections)**: -60.9 eV/cell

a b c (Å): 6.721 6.721 6.721
angles (deg): 132.22 132.22 69.89
Atoms (fractional coordinates):
Pr (0.246, 0.246, 0.000)
Pr (0.754, 0.754, 0.000)
Pr (0.996, 0.496, 0.500)
Pr (0.504, 0.004, 0.500)
H (0.143, 0.625, 0.018)
H (0.375, 0.393, 0.518)
H (0.875, 0.857, 0.482)
H (0.000, 0.000, 0.000)
H (0.875, 0.393, 0.018)
H (0.750, 0.250, 0.500)
H (0.607, 0.125, 0.982)
H (0.143, 0.125, 0.518)
H (0.375, 0.857, 0.982)
H (0.607, 0.625, 0.482)

No. 2
VASP calculation (PBE) on a relaxed structure of Sr2SbIr.

Computed properties:
**Crystal system**: cubic
**Total DFT energy (no corrections)**: -17.1 eV/cell

a b c (Å): 5.189 5.189 5.189
angles (deg): 60.00 60.00 60.00
Atoms (fractional coordinates):
Sr (0.250, 0.250, 0.250)
Sr (0.000, 0.000, 0.000)
Sb (0.750, 0.750, 0.750)
Ir (0.500, 0.500, 0.500)

Density in kg/m³, matching the order above: 5835 8223